[1]
An optimized crystal structure of MgZrBe2. Source: Alexandria via LeMat-Bulk, functional PBE-GGA.

The structure belongs to space group I4_1/amd (No. 141, origin choice 2); the cell edges are 4.143, 4.143 and 16.200 Å and the angles 90.00°, 90.00° and 90.00°. The distinct sites, in fractional coordinates, are Mg at (0.000, 0.250, 0.375), Zr at (0.000, 0.250, 0.875) and Be at (0.000, 0.000, 0.500).

As for the size of the total moment: 0.0 μB per cell. The calculation puts the formation energy at 0.68 eV/atom. The total energy comes out at -14.9 eV per formula unit.

[2]
An optimized crystal structure of TaBI2O. Source: Alexandria via LeMat-Bulk, functional PBE-GGA.

The structure belongs to space group P4/mmm (No. 123); the cell edges are 5.393, 5.393 and 3.143 Å and the angles 90.00°, 90.00° and 90.00°. The distinct sites, in fractional coordinates, are Ta at (0.000, 0.000, 0.000), B at (0.500, 0.500, 0.500), I at (0.000, 0.500, 0.500) and O at (0.500, 0.500, 0.000).

As for the size of the total moment: 1.6 μB per cell. The total energy comes out at -23.4 eV per formula unit. The uncorrected formation energy is 0.643 eV per atom. Its excess energy over the best structure of this formula in the dataset is 0.362 eV per atom.

Repeat the first record exactly.
An optimized crystal structure of MgZrBe2. Source: Alexandria via LeMat-Bulk, functional PBE-GGA.

The structure belongs to space group I4_1/amd (No. 141, origin choice 2); the cell edges are 4.143, 4.143 and 16.200 Å and the angles 90.00°, 90.00° and 90.00°. The distinct sites, in fractional coordinates, are Mg at (0.000, 0.250, 0.375), Zr at (0.000, 0.250, 0.875) and Be at (0.000, 0.000, 0.500).

As for the size of the total moment: 0.0 μB per cell. The calculation puts the formation energy at 0.68 eV/atom. The total energy comes out at -14.9 eV per formula unit.